(A)
A plane-wave DFT calculation with PBE-GGA was carried out for a relaxed BeGaSb2 crystal.

Summary:
density of states at the Fermi level: 2.7 states/eV/f.u.

Unit cell a=5.9485 b=5.9485 c=11.6516 alpha=90.00 beta=90.00 gamma=90.00
With the nearest neighbours (Å) after each atom.
Fractional coordinates of all 16 atoms:
Be 0.0000 0.0000 0.0000  4 Sb 2.45
Be 0.0000 0.5000 0.2500  4 Sb 2.45
Be 0.5000 0.0000 0.7500  4 Sb 2.45
Be 0.5000 0.5000 0.5000  4 Sb 2.45
Ga 0.0000 0.0000 0.5000  4 Sb 2.68
Ga 0.0000 0.5000 0.7500  4 Sb 2.68
Ga 0.5000 0.0000 0.2500  4 Sb 2.68
Ga 0.5000 0.5000 0.0000  4 Sb 2.68
Sb 0.2161 0.2500 0.1250  2 Be 2.45, 2 Ga 2.68
Sb 0.2500 0.7161 0.3750  2 Be 2.45, 2 Ga 2.68
Sb 0.2500 0.7839 0.8750  2 Be 2.45, 2 Ga 2.68
Sb 0.2839 0.2500 0.6250  2 Be 2.45, 2 Ga 2.68
Sb 0.7161 0.7500 0.6250  2 Be 2.45, 2 Ga 2.68
Sb 0.7500 0.2161 0.8750  2 Be 2.45, 2 Ga 2.68
Sb 0.7500 0.2839 0.3750  2 Be 2.45, 2 Ga 2.68
Sb 0.7839 0.7500 0.1250  2 Be 2.45, 2 Ga 2.68



(B)
A plane-wave DFT calculation with PBE-GGA was carried out for a relaxed BeGaSb2 crystal.

Summary:
density of states at the Fermi level: 2.4 states/eV/f.u.

Unit cell a=4.0607 b=4.0607 c=23.2868 alpha=90.00 beta=90.00 gamma=120.00
With the nearest neighbours (Å) after each atom.
Fractional coordinates of all 12 atoms:
Be 0.0000 0.0000 0.0000  2 Sb 2.33
Be 0.3333 0.6667 0.6667  2 Sb 2.33
Be 0.6667 0.3333 0.3333  2 Sb 2.33
Ga 0.0000 0.0000 0.5000  6 Sb 2.81
Ga 0.3333 0.6667 0.1667  6 Sb 2.81
Ga 0.6667 0.3333 0.8333  6 Sb 2.81
Sb 0.0000 0.0000 0.0998  1 Be 2.33
Sb 0.0000 0.0000 0.9002  1 Be 2.33
Sb 0.3333 0.6667 0.5668  1 Be 2.33
Sb 0.3333 0.6667 0.7665  1 Be 2.33
Sb 0.6667 0.3333 0.2335  1 Be 2.33
Sb 0.6667 0.3333 0.4332  1 Be 2.33



(C)
A plane-wave DFT calculation with PBE-GGA was carried out for a relaxed BeGaSb2 crystal.

Summary:
density of states at the Fermi level: 1.7 states/eV/f.u.

Unit cell a=6.9523 b=6.9523 c=6.9523 alpha=90.00 beta=90.00 gamma=90.00
With the nearest neighbours (Å) after each atom.
Fractional coordinates of all 16 atoms:
Be 0.0000 0.0000 0.0000  8 Sb 3.01
Be 0.0000 0.5000 0.5000  8 Sb 3.01
Be 0.5000 0.0000 0.5000  8 Sb 3.01
Be 0.5000 0.5000 0.0000  8 Sb 3.01
Ga 0.0000 0.0000 0.5000  8 Sb 3.01
Ga 0.0000 0.5000 0.0000  8 Sb 3.01
Ga 0.5000 0.0000 0.0000  8 Sb 3.01
Ga 0.5000 0.5000 0.5000  8 Sb 3.01
Sb 0.2500 0.2500 0.2500  4 Be 3.01, 4 Ga 3.01
Sb 0.2500 0.2500 0.7500  4 Be 3.01, 4 Ga 3.01
Sb 0.2500 0.7500 0.2500  4 Be 3.01, 4 Ga 3.01
Sb 0.2500 0.7500 0.7500  4 Be 3.01, 4 Ga 3.01
Sb 0.7500 0.2500 0.2500  4 Be 3.01, 4 Ga 3.01
Sb 0.7500 0.2500 0.7500  4 Be 3.01, 4 Ga 3.01
Sb 0.7500 0.7500 0.2500  4 Be 3.01, 4 Ga 3.01
Sb 0.7500 0.7500 0.7500  4 Ga 3.01, 4 Be 3.01



Relative to the most stable structure, the computed energies are (A) 0.0; (B) 43.5; (C) 40.1, all in kJ/mol of atoms.



(A)
A plane-wave DFT calculation with PBE-GGA was carried out for a relaxed BeGaSb3 crystal.

Summary:
density of states at the Fermi level: 2.7 states/eV/f.u.

Unit cell a=4.9708 b=4.9708 c=4.9708 alpha=90.00 beta=90.00 gamma=90.00
With the nearest neighbours (Å) after each atom.
Fractional coordinates of all 5 atoms:
Be 0.0000 0.0000 0.0000  6 Sb 2.49
Ga 0.5000 0.5000 0.5000  12 Sb 3.51
Sb 0.0000 0.0000 0.5000  2 Be 2.49
Sb 0.0000 0.5000 0.0000  2 Be 2.49
Sb 0.5000 0.0000 0.0000  2 Be 2.49



(B)
A plane-wave DFT calculation with PBE-GGA was carried out for a relaxed BeGaSb3 crystal.

Summary:
density of states at the Fermi level: 4.6 states/eV/f.u.

Unit cell a=5.2860 b=5.2860 c=5.2860 alpha=90.00 beta=90.00 gamma=90.00
With the nearest neighbours (Å) after each atom.
Fractional coordinates of all 5 atoms:
Be 0.0000 0.0000 0.0000  12 Sb 3.74
Ga 0.5000 0.5000 0.5000  6 Sb 2.64
Sb 0.0000 0.5000 0.5000  2 Ga 2.64
Sb 0.5000 0.0000 0.5000  2 Ga 2.64
Sb 0.5000 0.5000 0.0000  2 Ga 2.64



Relative to the most stable structure, the computed energies are (A) 0.0; (B) 62.1, all in kJ/mol of atoms.



(A)
A plane-wave DFT calculation with PBE-GGA was carried out for a relaxed Be2GaSb2 crystal.

Summary:
density of states at the Fermi level: 1.1 states/eV/f.u.

Unit cell a=3.7384 b=3.7384 c=14.9229 alpha=90.00 beta=90.00 gamma=90.00
With the nearest neighbours (Å) after each atom.
Fractional coordinates of all 10 atoms:
Be 0.0000 0.5000 0.2500  4 Sb 2.52, 4 Be 2.64
Be 0.0000 0.5000 0.7500  4 Sb 2.52, 4 Be 2.64
Be 0.5000 0.0000 0.2500  4 Sb 2.52, 4 Be 2.64
Be 0.5000 0.0000 0.7500  4 Sb 2.52, 4 Be 2.64
Ga 0.0000 0.0000 0.0000  8 Sb 3.34, 4 Ga 3.74
Ga 0.5000 0.5000 0.5000  8 Sb 3.34, 4 Ga 3.74
Sb 0.0000 0.0000 0.3633  4 Be 2.52
Sb 0.0000 0.0000 0.6367  4 Be 2.52
Sb 0.5000 0.5000 0.1367  4 Be 2.52
Sb 0.5000 0.5000 0.8633  4 Be 2.52



(B)
A plane-wave DFT calculation with PBE-GGA was carried out for a relaxed Be2GaSb2 crystal.

Summary:
density of states at the Fermi level: 1.9 states/eV/f.u.

Unit cell a=7.8195 b=7.8195 c=3.1546 alpha=90.00 beta=90.00 gamma=90.00
With the nearest neighbours (Å) after each atom.
Fractional coordinates of all 10 atoms:
Be 0.1080 0.3920 0.0000  1 Be 2.39
Be 0.3920 0.8920 0.0000  1 Be 2.39
Be 0.6080 0.1080 0.0000  1 Be 2.39
Be 0.8920 0.6080 0.0000  1 Be 2.39
Ga 0.0000 0.0000 0.5000  4 Sb 2.90, 2 Ga 3.15
Ga 0.5000 0.5000 0.5000  4 Sb 2.90, 2 Ga 3.15
Sb 0.1713 0.6713 0.5000  6 Be 2.74-2.91, 2 Ga 2.90
Sb 0.3287 0.1713 0.5000  6 Be 2.74-2.91, 2 Ga 2.90
Sb 0.6713 0.8287 0.5000  6 Be 2.74-2.91, 2 Ga 2.90
Sb 0.8287 0.3287 0.5000  6 Be 2.74-2.91, 2 Ga 2.90



Relative to the most stable structure, the computed energies are (A) 0.0; (B) 26.7, all in kJ/mol of atoms.



(A)
A plane-wave DFT calculation with PBE-GGA was carried out for a relaxed Be2GaSb crystal.

Summary:
density of states at the Fermi level: 2.2 states/eV/f.u.

Unit cell a=6.0877 b=6.0877 c=8.6481 alpha=90.00 beta=90.00 gamma=90.00
With the nearest neighbours (Å) after each atom.
Fractional coordinates of all 16 atoms:
Be 0.2490 0.2500 0.1250  2 Sb 2.40, 2 Ga 2.41
Be 0.2500 0.7490 0.3750  2 Sb 2.40, 2 Ga 2.41
Be 0.2500 0.7510 0.8750  2 Sb 2.40, 2 Ga 2.41
Be 0.2510 0.2500 0.6250  2 Sb 2.40, 2 Ga 2.41
Be 0.7490 0.7500 0.6250  2 Sb 2.40, 2 Ga 2.41
Be 0.7500 0.2490 0.8750  2 Sb 2.40, 2 Ga 2.41
Be 0.7500 0.2510 0.3750  2 Sb 2.40, 2 Ga 2.41
Be 0.7510 0.7500 0.1250  2 Sb 2.40, 2 Ga 2.41
Ga 0.0000 0.0000 0.5000  4 Be 2.41
Ga 0.0000 0.5000 0.7500  4 Be 2.41
Ga 0.5000 0.0000 0.2500  4 Be 2.41
Ga 0.5000 0.5000 0.0000  4 Be 2.41
Sb 0.0000 0.0000 0.0000  4 Be 2.40
Sb 0.0000 0.5000 0.2500  4 Be 2.40
Sb 0.5000 0.0000 0.7500  4 Be 2.40
Sb 0.5000 0.5000 0.5000  4 Be 2.40



(B)
A plane-wave DFT calculation with PBE-GGA was carried out for a relaxed Be2GaSb crystal.

Summary:
density of states at the Fermi level: 1.9 states/eV/f.u.

Unit cell a=6.3734 b=6.3734 c=6.3734 alpha=90.00 beta=90.00 gamma=90.00
With the nearest neighbours (Å) after each atom.
Fractional coordinates of all 16 atoms:
Be 0.2500 0.2500 0.2500  4 Sb 2.76, 4 Ga 2.76
Be 0.2500 0.2500 0.7500  4 Sb 2.76, 4 Ga 2.76
Be 0.2500 0.7500 0.2500  4 Sb 2.76, 4 Ga 2.76
Be 0.2500 0.7500 0.7500  4 Sb 2.76, 4 Ga 2.76
Be 0.7500 0.2500 0.2500  4 Sb 2.76, 4 Ga 2.76
Be 0.7500 0.2500 0.7500  4 Sb 2.76, 4 Ga 2.76
Be 0.7500 0.7500 0.2500  4 Sb 2.76, 4 Ga 2.76
Be 0.7500 0.7500 0.7500  4 Sb 2.76, 4 Ga 2.76
Ga 0.0000 0.0000 0.0000  8 Be 2.76
Ga 0.0000 0.5000 0.5000  8 Be 2.76
Ga 0.5000 0.0000 0.5000  8 Be 2.76
Ga 0.5000 0.5000 0.0000  8 Be 2.76
Sb 0.0000 0.0000 0.5000  8 Be 2.76
Sb 0.0000 0.5000 0.0000  8 Be 2.76
Sb 0.5000 0.0000 0.0000  8 Be 2.76
Sb 0.5000 0.5000 0.5000  8 Be 2.76



Relative to the most stable structure, the computed energies are (A) 0.0; (B) 4.0, all in kJ/mol of atoms.